*P*
Material: CeHfHg2
Method: DFT, GGA-PBE
State: relaxed

Cell and atoms, written as POSCAR:
```
CeHfHg2
1.0
4.561 0.000 0.000
0.000 4.561 0.000
0.000 0.000 4.560
Ce Hf Hg
1 1 2
Direct
0.000 0.000 0.000
0.500 0.500 0.000
0.000 0.500 0.500
0.500 0.000 0.500
```

*Q*
Material: CeHfHg2
Method: DFT, GGA-PBE
State: relaxed

Cell and atoms, written as POSCAR:
```
CeHfHg2
1.0
3.231 0.000 0.000
0.000 3.231 0.000
0.000 0.000 8.890
Ce Hf Hg
1 1 2
Direct
0.000 0.000 0.000
0.000 0.000 0.500
0.500 0.500 0.270
0.500 0.500 0.730
```

Quick ranking, most stable first: *Q*, *P*.